# BeCo2Sn

A relaxed BeCo2Sn crystal (GGA-PBE, Alexandria).

Space group: P4/mmm
Energy of formation from the pure elements (eV/atom): 0.03
Crystal system: tetragonal

Cell and atoms, written as CIF:
```
data_BeCo2Sn
_chemical_formula_sum 'Be1 Co2 Sn1'
_cell_length_a 3.2341
_cell_length_b 3.9050
_cell_length_c 3.9050
_cell_angle_alpha 90.00
_cell_angle_beta 90.00
_cell_angle_gamma 90.00
_symmetry_space_group_name_H-M 'P 1'
_symmetry_Int_Tables_number 1
_symmetry_space_group_name_Hall 'P 1'
loop_
_atom_site_label
_atom_site_fract_x
_atom_site_fract_y
_atom_site_fract_z
Be1 0.5000 0.0000 0.0000
Co1 0.0000 0.0000 0.5000
Co2 0.0000 0.5000 0.0000
Sn1 0.5000 0.5000 0.5000
```